Entry 1:
## PmTm4S6 (PBE-GGA)

Data for crystalline PmTm4S6 at its relaxed geometry.

For the volume, the calculation gives 21.7 Å³ per atom. The total energy is -6.331 eV per atom. For the theoretical density, the calculation gives 7.06 g/cm³.

The structure belongs to space group Cmcm (No. 63); the cell edges are 3.8199, 12.6842 and 19.6625 Å and the angles 90.00°, 90.00° and 90.00°. The distinct sites, in fractional coordinates, are Pm at (0.0000, 0.1529, 0.2500), Tm at (0.0000, 0.0922, 0.6263), Tm at (0.0000, 0.3617, 0.5392), S at (0.0000, 0.0000, 0.0000), S at (0.0000, 0.1839, 0.7500), S at (0.0000, 0.2684, 0.0882) and S at (0.0000, 0.4530, 0.6642).



Entry 2:
## PmTmS (PBE-GGA)

Data for crystalline PmTmS at its relaxed geometry.

For the volume, the calculation gives 26.4 Å³ per atom. The total energy is -5.707 eV per atom. For the theoretical density, the calculation gives 7.25 g/cm³.

The structure belongs to space group Pmmn (No. 59, origin choice 2); the cell edges are 3.7913, 5.3991 and 7.7471 Å and the angles 90.00°, 90.00° and 90.00°. The distinct sites, in fractional coordinates, are Pm at (0.2500, 0.2500, 0.1147), Tm at (0.2500, 0.2500, 0.6300) and S at (0.2500, 0.7500, 0.6114).



Entry 3:
## PmTm2S4 (PBE-GGA)

Data for crystalline PmTm2S4 at its relaxed geometry.

For the volume, the calculation gives 22.7 Å³ per atom. The total energy is -6.364 eV per atom. For the theoretical density, the calculation gives 6.39 g/cm³.

The structure belongs to space group Pnma (No. 62); the cell edges are 11.8514, 3.8335 and 13.9826 Å and the angles 90.00°, 90.00° and 90.00°. The distinct sites, in fractional coordinates, are Pm at (0.2465, 0.2500, 0.1692), Tm at (0.0606, 0.2500, 0.3879), Tm at (0.0931, 0.2500, 0.9058), S at (0.0397, 0.7500, 0.7833), S at (0.0969, 0.2500, 0.5770), S at (0.1289, 0.7500, 0.0401) and S at (0.1999, 0.7500, 0.3202).



Entry 4:
## Pm3Tm2S8 (PBE-GGA)

Data for crystalline Pm3Tm2S8 at its relaxed geometry.

For the volume, the calculation gives 27.1 Å³ per atom. The total energy is -6.136 eV per atom. For the theoretical density, the calculation gives 4.85 g/cm³.

The structure belongs to space group C2/m (No. 12); the cell edges are 13.8104, 8.0211 and 6.8092 Å and the angles 90.00°, 110.75° and 90.00°. The distinct sites, in fractional coordinates, are Pm at (0.0000, 0.0000, 0.0000), Pm at (0.0000, 0.2641, 0.5000), Tm at (0.2383, 0.5000, 0.1555), S at (0.1166, 0.5000, 0.3845), S at (0.1217, 0.0000, 0.4385) and S at (0.1296, 0.2344, 0.9185).